# MnF3, optimized geometry, DFT PBE+U
data_MnF3
_chemical_formula_sum 'Mn3 F9'
_cell_length_a 3.4163
_cell_length_b 3.4163
_cell_length_c 18.5202
_cell_angle_alpha 90.00
_cell_angle_beta 90.00
_cell_angle_gamma 120.00
_space_group_name_H-M_alt 'R -3 m'
_space_group_IT_number 166
_space_group_name_Hall '-R 3 2"'
loop_
_atom_site_label
_atom_site_type_symbol
_atom_site_fract_x
_atom_site_fract_y
_atom_site_fract_z
Mn1 Mn 0.0000 0.0000 0.0000
F1 F 0.0000 0.0000 0.3806
F2 F 0.0000 0.0000 0.5000
# Total magnetization   1.000 μB per atom
# Uncorrected energy   -5.03 eV/atom